1.
Computed, not measured: an optimized crystal structure of Rb2InSi2 at the PBE-GGA level of DFT.

Unit cell a=5.427 b=5.427 c=13.275 alpha=90.00 beta=90.00 gamma=90.00
Space group I4/mmm (No. 139)
Asymmetric unit:
Rb  0.000  0.500  0.250 (multiplicity 4)
In  0.000  0.000  0.000 (multiplicity 2)
Si  0.000  0.000  0.419 (multiplicity 4)

The calculation puts the density of states at the Fermi level at 6.91 states/eV per cell. The energy above the lowest structure with this stoichiometry comes out at 0 meV/atom.

2.
Computed, not measured: an optimized crystal structure of Rb2InSi at the PBE-GGA level of DFT.

Unit cell a=4.859 b=4.859 c=25.021 alpha=90.00 beta=90.00 gamma=90.00
Space group I-42d (No. 122)
Asymmetric unit:
Rb  0.244  0.250  0.125 (multiplicity 8)
In  0.000  0.000  0.500 (multiplicity 4)
Si  0.000  0.000  0.000 (multiplicity 4)

The calculation puts the density of states at the Fermi level at 9.67 states/eV per cell. The energy above the lowest structure with this stoichiometry comes out at 141 meV/atom.

Q: Which value of energy above the lowest structure with this stoichiometry does entry 2 give?
A: 141 meV/atom

Q: Number 1 is which compound?
A: Rb2InSi2

Q: The highest energy above the lowest structure with this stoichiometry belongs to which entry?
A: Rb2InSi